Record 1
Here is crystalline Li2In at its relaxed geometry from Alexandria. Energies are from PBEsol.

## Properties
volume	20.279	Å³ per atom
formation energy	-73	kJ/mol of formula units

Cell lengths 8.8293, 8.8293, 8.8293 Å; angles 60.00, 60.00, 60.00 degrees
Positions (direct):
In1 0.3386 0.9843 0.3386
In2 0.9843 0.3386 0.3386
In3 0.2657 0.9114 0.9114
In4 0.9114 0.2657 0.9114
In5 0.9114 0.9114 0.9114
In6 0.9114 0.9114 0.2657
In7 0.3386 0.3386 0.3386
In8 0.3386 0.3386 0.9843
Li1 0.1250 0.1250 0.1250
Li2 0.5479 0.9521 0.5479
Li3 0.9521 0.5479 0.5479
Li4 0.6250 0.1250 0.1250
Li5 0.9521 0.9521 0.5479
Li6 0.7021 0.2979 0.2979
Li7 0.1250 0.1250 0.6250
Li8 0.5479 0.5479 0.9521
Li9 0.2979 0.2979 0.7021
Li10 0.2979 0.7021 0.7021
Li11 0.7021 0.7021 0.2979
Li12 0.2979 0.7021 0.2979
Li13 0.9521 0.5479 0.9521
Li14 0.5479 0.9521 0.9521
Li15 0.7021 0.2979 0.7021
Li16 0.1250 0.6250 0.1250

Record 2
Here is crystalline BeAu2Se at its relaxed geometry from Alexandria. Energies are from PBEsol.

## Properties
excess energy over the best structure of this formula in the dataset	230	meV/atom
energy relative to the elements, uncorrected	24.49	kJ per mole of atoms
volume	16.134	Å³ per atom

Cell lengths 3.8947, 3.8947, 4.2546 Å; angles 90.00, 90.00, 90.00 degrees
Positions (direct):
Be1 0.5000 0.5000 0.5000
Au1 0.5000 0.0000 0.0000
Au2 0.0000 0.5000 0.0000
Se1 0.0000 0.0000 0.5000

Record 3
Here is crystalline OF2 at its relaxed geometry from Alexandria. Energies are from PBEsol.

## Properties
energy relative to the elements, uncorrected	1.66	kJ per mole of atoms
volume	14.244	Å³ per atom

Cell lengths 3.1172, 5.7116, 9.6002 Å; angles 90.00, 90.00, 90.00 degrees
Positions (direct):
F1 0.7500 0.3450 0.2577
F2 0.2500 0.6879 0.4556
F3 0.7500 0.3121 0.5444
F4 0.7500 0.1879 0.0444
F5 0.2500 0.8121 0.9556
F6 0.2500 0.8450 0.2423
F7 0.2500 0.6550 0.7423
F8 0.7500 0.1550 0.7577
O1 0.2500 0.5941 0.8851
O2 0.7500 0.0941 0.6149
O3 0.7500 0.4059 0.1149
O4 0.2500 0.9059 0.3851

Record 4
Here is crystalline Ta2BeCd at its relaxed geometry from Alexandria. Energies are from PBEsol.

## Properties
excess energy over the best structure of this formula in the dataset	98	meV/atom
volume	16.013	Å³ per atom
formation energy	104	kJ/mol of formula units

Cell lengths 3.5096, 4.2137, 5.1262 Å; angles 114.27, 110.02, 90.00 degrees
Positions (direct):
Cd1 0.0000 0.5000 0.0000
Ta1 0.2316 0.2316 0.4631
Ta2 0.7684 0.7684 0.5369
Be1 0.5000 0.0000 0.0000

Record 5
Here is crystalline CrCu2Cl at its relaxed geometry from Alexandria. Energies are from PBEsol.

## Properties
excess energy over the best structure of this formula in the dataset	377	meV/atom
energy relative to the elements, uncorrected	57.01	kJ per mole of atoms
volume	14.296	Å³ per atom

Cell lengths 4.3245, 4.3245, 4.3245 Å; angles 60.00, 60.00, 60.00 degrees
Positions (direct):
Cu1 0.7500 0.7500 0.7500
Cu2 0.0000 0.0000 0.0000
Cl1 0.5000 0.5000 0.5000
Cr1 0.2500 0.2500 0.2500

Record 6
Here is crystalline Mg3BePt at its relaxed geometry from Alexandria. Energies are from PBEsol.

## Properties
volume	18.434	Å³ per atom
formation energy	200	kJ/mol of formula units

Cell lengths 4.5171, 4.5171, 4.5171 Å; angles 90.00, 90.00, 90.00 degrees
Positions (direct):
Pt1 0.5000 0.5000 0.5000
Be1 0.0000 0.0000 0.0000
Mg1 0.0000 0.0000 0.5000
Mg2 0.0000 0.5000 0.0000
Mg3 0.5000 0.0000 0.0000

Record 7
Here is crystalline Dy2Ga8Co at its relaxed geometry from Alexandria. Energies are from PBEsol.

## Properties
volume	17.192	Å³ per atom
formation energy	-579	kJ/mol of formula units

Cell lengths 4.1580, 4.1580, 10.9386 Å; angles 90.00, 90.00, 90.00 degrees
Positions (direct):
Dy1 0.0000 0.0000 0.6940
Dy2 0.0000 0.0000 0.3060
Ga1 0.5000 0.5000 0.3053
Ga2 0.0000 0.5000 0.5000
Ga3 0.0000 0.5000 0.1166
Ga4 0.5000 0.0000 0.8834
Ga5 0.5000 0.0000 0.1166
Ga6 0.5000 0.5000 0.6947
Ga7 0.5000 0.0000 0.5000
Ga8 0.0000 0.5000 0.8834
Co1 0.0000 0.0000 0.0000

Record 8
Here is crystalline BaFe2Ir2 at its relaxed geometry from Alexandria. Energies are from PBEsol.

## Properties
volume	18.567	Å³ per atom
formation energy	108	kJ/mol of formula units

Cell lengths 4.2909, 4.2909, 5.8847 Å; angles 111.38, 111.38, 90.00 degrees
Positions (direct):
Ir1 0.3732 0.3732 0.7465
Ir2 0.6268 0.6268 0.2535
Ba1 0.0000 0.0000 0.0000
Fe1 0.2500 0.7500 0.5000
Fe2 0.7500 0.2500 0.5000

Record 9
Here is crystalline TaCr2Os at its relaxed geometry from Alexandria. Energies are from PBEsol.

## Properties
excess energy over the best structure of this formula in the dataset	18	meV/atom
volume	13.657	Å³ per atom
formation energy	13	kJ/mol of formula units

Cell lengths 3.0255, 4.2774, 4.9679 Å; angles 115.50, 107.73, 90.00 degrees
Positions (direct):
Os1 0.5000 0.0000 0.0000
Cr1 0.2523 0.2523 0.5045
Cr2 0.7477 0.7477 0.4955
Ta1 0.0000 0.5000 0.0000

Record 10
Here is crystalline CaIrO3 at its relaxed geometry from Alexandria. Energies are from PBEsol.

## Properties
energy relative to the elements, uncorrected	-156.06	kJ per mole of atoms
volume	11.713	Å³ per atom

Cell lengths 5.2903, 5.2903, 14.0138 Å; angles 90.00, 90.00, 116.37 degrees
Positions (direct):
Ca1 0.6793 0.3207 0.8799
Ca2 0.3207 0.6793 0.3799
Ca3 0.6793 0.3207 0.6201
Ca4 0.9808 0.0192 0.2500
Ca5 0.0192 0.9808 0.7500
Ca6 0.3207 0.6793 0.1201
O1 0.2137 0.7863 0.9683
O2 0.7855 0.7373 0.3978
O3 0.2145 0.2627 0.6022
O4 0.5161 0.0177 0.2500
O5 0.7373 0.7855 0.6022
O6 0.2627 0.2145 0.3978
O7 0.2137 0.7863 0.5317
O8 0.7863 0.2137 0.4683
O9 0.7863 0.2137 0.0317
O10 0.2145 0.2627 0.8978
O11 0.4839 0.9823 0.7500
O12 0.2627 0.2145 0.1022
O13 0.7855 0.7373 0.1022
O14 0.5054 0.4946 0.2500
O15 0.0177 0.5161 0.7500
O16 0.9823 0.4839 0.2500
O17 0.4946 0.5054 0.7500
O18 0.7373 0.7855 0.8978
Ir1 0.3430 0.6570 0.6492
Ir2 0.6570 0.3430 0.3508
Ir3 0.6570 0.3430 0.1492
Ir4 0.0000 0.0000 0.0000
Ir5 0.3430 0.6570 0.8508
Ir6 0.0000 0.0000 0.5000

Record 11
Here is crystalline InPb2 at its relaxed geometry from Alexandria. Energies are from PBEsol.

## Properties
volume	28.278	Å³ per atom
formation energy	10	kJ/mol of formula units

Cell lengths 3.3466, 5.4102, 5.4102 Å; angles 120.00, 90.00, 90.00 degrees
Positions (direct):
Pb1 0.6890 0.6667 0.3333
Pb2 0.3110 0.3333 0.6667
In1 0.0000 0.0000 0.0000

Record 12
Here is crystalline SrLaFe at its relaxed geometry from Alexandria. Energies are from PBEsol.

## Properties
volume	27.325	Å³ per atom
formation energy	324	kJ/mol of formula units

Cell lengths 4.8760, 4.8760, 4.8760 Å; angles 60.00, 60.00, 60.00 degrees
Positions (direct):
Sr1 0.0000 0.0000 0.0000
Fe1 0.5000 0.5000 0.5000
La1 0.2500 0.2500 0.2500

Record 13
Here is crystalline PPtO2 at its relaxed geometry from Alexandria. Energies are from PBEsol.

## Properties
energy relative to the elements, uncorrected	-6.12	kJ per mole of atoms
volume	11.612	Å³ per atom

Cell lengths 2.7625, 2.7625, 7.2067 Å; angles 78.95, 78.95, 60.00 degrees
Positions (direct):
O1 0.9267 0.9267 0.2198
O2 0.0733 0.0733 0.7802
Pt1 0.5000 0.5000 0.5000
P1 0.0000 0.0000 0.0000

Record 14
Here is crystalline Bi3OsN at its relaxed geometry from Alexandria. Energies are from PBEsol.

## Properties
energy relative to the elements, uncorrected	104.95	kJ per mole of atoms
volume	20.925	Å³ per atom

Cell lengths 4.7121, 4.7121, 4.7121 Å; angles 90.00, 90.00, 90.00 degrees
Positions (direct):
Bi1 0.0000 0.0000 0.5000
Bi2 0.5000 0.0000 0.0000
Bi3 0.0000 0.5000 0.0000
N1 0.0000 0.0000 0.0000
Os1 0.5000 0.5000 0.5000

Record 15
Here is crystalline CuHgAs2 at its relaxed geometry from Alexandria. Energies are from PBEsol.

## Properties
volume	19.350	Å³ per atom
formation energy	73	kJ/mol of formula units

Cell lengths 3.6358, 3.6539, 6.3708 Å; angles 106.66, 106.58, 90.00 degrees
Positions (direct):
As1 0.6670 0.1670 0.3339
As2 0.0071 0.0071 0.0141
Hg1 0.3078 0.8078 0.6155
Cu1 0.5182 0.5182 0.0364

Record 16
Here is crystalline LaBeS2Cl at its relaxed geometry from Alexandria. Energies are from PBEsol.

## Properties
energy relative to the elements, uncorrected	-137.18	kJ per mole of atoms
volume	17.939	Å³ per atom

Cell lengths 4.3104, 4.5617, 4.5617 Å; angles 90.00, 90.00, 90.00 degrees
Positions (direct):
La1 0.5000 0.5000 0.5000
Be1 0.0000 0.0000 0.0000
Cl1 0.5000 0.0000 0.0000
S1 0.0000 0.5000 0.0000
S2 0.0000 0.0000 0.5000

Record 17
Here is crystalline CaTiO3 at its relaxed geometry from Alexandria. Energies are from PBEsol.

## Properties
energy relative to the elements, uncorrected	-308.77	kJ per mole of atoms
volume	11.067	Å³ per atom

Cell lengths 5.3451, 5.4455, 7.6046 Å; angles 90.00, 90.00, 90.00 degrees
Positions (direct):
O1 0.5789 0.0199 0.2500
O2 0.2087 0.2094 0.4585
O3 0.2913 0.7094 0.4585
O4 0.4211 0.9801 0.7500
O5 0.7087 0.2906 0.9585
O6 0.0789 0.4801 0.7500
O7 0.7087 0.2906 0.5415
O8 0.7913 0.7906 0.9585
O9 0.9211 0.5199 0.2500
O10 0.7913 0.7906 0.5415
O11 0.2913 0.7094 0.0415
O12 0.2087 0.2094 0.0415
Ca1 0.0095 0.9558 0.2500
Ca2 0.5095 0.5442 0.7500
Ca3 0.4905 0.4558 0.2500
Ca4 0.9905 0.0442 0.7500
Ti1 0.5000 0.0000 0.5000
Ti2 0.0000 0.5000 0.0000
Ti3 0.5000 0.0000 0.0000
Ti4 0.0000 0.5000 0.5000

Record 18
Here is crystalline KMo2PBr at its relaxed geometry from Alexandria. Energies are from PBEsol.

## Properties
energy relative to the elements, uncorrected	282.32	kJ per mole of atoms
volume	31.174	Å³ per atom

Cell lengths 5.1529, 5.4999, 5.4999 Å; angles 90.00, 90.00, 90.00 degrees
Positions (direct):
P1 0.5000 0.0000 0.0000
Mo1 0.0000 0.5000 0.0000
Mo2 0.0000 0.0000 0.5000
K1 0.0000 0.0000 0.0000
Br1 0.5000 0.5000 0.5000

Record 19
Here is crystalline Zn3SnAu at its relaxed geometry from Alexandria. Energies are from PBEsol.

## Properties
volume	25.269	Å³ per atom
formation energy	347	kJ/mol of formula units

Cell lengths 5.0179, 5.0179, 5.0179 Å; angles 90.00, 90.00, 90.00 degrees
Positions (direct):
Zn1 0.5000 0.0000 0.0000
Zn2 0.0000 0.5000 0.0000
Zn3 0.0000 0.0000 0.5000
Sn1 0.0000 0.0000 0.0000
Au1 0.5000 0.5000 0.5000

Record 20
Here is crystalline HfSN2O at its relaxed geometry from Alexandria. Energies are from PBEsol.

## Properties
energy relative to the elements, uncorrected	98.30	kJ per mole of atoms
volume	17.218	Å³ per atom

Cell lengths 4.1579, 4.1579, 4.9797 Å; angles 90.00, 90.00, 90.00 degrees
Positions (direct):
Hf1 0.0000 0.0000 0.0000
N1 0.5000 0.0000 0.0000
N2 0.0000 0.5000 0.0000
O1 0.5000 0.5000 0.5000
S1 0.0000 0.0000 0.5000